[1]
Below is Mg3Zr at its PBEsol-relaxed geometry, with properties calculated at the meta-GGA SCAN level.

Values from the calculation:
For the total energy, the calculation gives -11.35 eV per atom. The calculated volume is 21.71 A^3/atom. The formation energy from the elements is 0.052 eV per atom.

Cell lengths 2.9677, 4.8109, 6.2439 Å; angles 90.00, 103.02, 90.00 degrees
With the nearest neighbours (Å) after each atom.
Space group P2/m (No. 10)
Asymmetric unit:
Mg1 0.0000 0.0000 0.0000 (multiplicity 1)  6 Mg 2.97-2.99, 2 Zr 3.14
Mg2 0.1816 0.5000 0.7481 (multiplicity 2)  6 Mg 2.97-3.28, 4 Zr 3.12-3.30
Zr1 0.5000 0.0000 0.5000 (multiplicity 1)  2 Zr 2.97, 10 Mg 3.12-3.30


[2]
Below is Rb2NdAgCl6 at its PBEsol-relaxed geometry, with properties calculated at the meta-GGA SCAN level.

Values from the calculation:
The value obtained for the formation energy without anion corrections is -2.01 eV/atom. For the total energy, the calculation gives -18.44 eV per atom. The calculated volume is 30.45 A^3/atom.

Cell lengths 10.6792, 10.6792, 10.6792 Å; angles 90.00, 90.00, 90.00 degrees
With the nearest neighbours (Å) after each atom.
Space group Fm-3m (No. 225)
Asymmetric unit:
Rb1 0.2500 0.2500 0.2500 (multiplicity 8)  12 Cl 3.78
Nd1 0.0000 0.0000 0.0000 (multiplicity 4)  6 Cl 2.69
Ag1 0.0000 0.0000 0.5000 (multiplicity 4)  6 Cl 2.65
Cl1 0.0000 0.0000 0.2517 (multiplicity 24)  1 Ag 2.65, 1 Nd 2.69


[3]
Below is ScSe2O at its PBEsol-relaxed geometry, with properties calculated at the meta-GGA SCAN level.

Values from the calculation:
The value obtained for the formation energy without anion corrections is -0.38 eV/atom. For the total energy, the calculation gives -15.54 eV per atom. The value obtained for the offset from the most stable computed form is 100 meV/atom. The calculated volume is 16.55 A^3/atom.

Cell lengths 6.4218, 6.4218, 6.4218 Å; angles 90.00, 90.00, 90.00 degrees
With the nearest neighbours (Å) after each atom.
Space group Fm-3m (No. 225)
Asymmetric unit:
Sc1 0.0000 0.0000 0.0000 (multiplicity 4)  8 Se 2.78
Se1 0.2500 0.2500 0.2500 (multiplicity 8)  4 O 2.78, 4 Sc 2.78
O1 0.0000 0.0000 0.5000 (multiplicity 4)  8 Se 2.78


[4]
Below is CdCu at its PBEsol-relaxed geometry, with properties calculated at the meta-GGA SCAN level.

Values from the calculation:
For the total energy, the calculation gives -22.74 eV per atom. The calculated volume is 15.47 A^3/atom. The formation energy from the elements is 0.070 eV per atom.

Cell lengths 9.7457, 3.0225, 6.6972 Å; angles 90.00, 109.80, 90.00 degrees
With the nearest neighbours (Å) after each atom.
Space group Cm (No. 8)
Asymmetric unit:
Cd1 0.0000 0.0000 0.0000 (multiplicity 2)  7 Cu 2.79-2.85, 6 Cd 2.93-3.02
Cd2 0.0046 0.0000 0.5618 (multiplicity 2)  7 Cu 2.68-2.79, 3 Cd 2.90-2.95
Cd3 0.3178 0.0000 0.2038 (multiplicity 2)  4 Cu 2.69-2.71, 5 Cd 2.90-2.99
Cu1 0.1523 0.5000 0.3700 (multiplicity 2)  2 Cu 2.52, 4 Cd 2.69-2.71
Cu2 0.1957 0.5000 0.8567 (multiplicity 2)  2 Cu 2.48, 4 Cd 2.68-2.69
Cu3 0.3071 0.0000 0.6605 (multiplicity 2)  4 Cu 2.48-2.52, 2 Cd 2.70


[5]
Below is As2SeBr at its PBEsol-relaxed geometry, with properties calculated at the meta-GGA SCAN level.

Values from the calculation:
The value obtained for the formation energy without anion corrections is 0.42 eV/atom. For the total energy, the calculation gives -19.56 eV per atom. The value obtained for the offset from the most stable computed form is 1 meV/atom. The calculated volume is 21.96 A^3/atom.

Cell lengths 3.4834, 4.5640, 11.0487 Å; angles 90.00, 90.00, 90.00 degrees
With the nearest neighbours (Å) after each atom.
Space group Cmm2 (No. 35)
Asymmetric unit:
As1 0.0000 0.0000 0.0000 (multiplicity 2)  6 As 2.68-2.87
As2 0.0000 0.5000 0.1842 (multiplicity 2)  6 As 2.68-2.87
Se1 0.0000 0.5000 0.7773 (multiplicity 2)  4 Se 2.87, 2 As 3.01
Br1 0.0000 0.0000 0.4585 (multiplicity 2)  4 Br 2.87


[6]
Below is Li2AlIr at its PBEsol-relaxed geometry, with properties calculated at the meta-GGA SCAN level.

Values from the calculation:
For the total energy, the calculation gives -21.46 eV per atom. The calculated volume is 13.52 A^3/atom. The formation energy from the elements is -0.554 eV per atom.

Cell lengths 2.9119, 4.1302, 8.9963 Å; angles 90.00, 90.00, 90.00 degrees
With the nearest neighbours (Å) after each atom.
Space group Immm (No. 71)
Asymmetric unit:
Li1 0.0000 0.0000 0.2402 (multiplicity 4)  4 Li 2.53, 2 Ir 2.61, 2 Al 2.75
Al1 0.0000 0.5000 0.0000 (multiplicity 2)  4 Ir 2.53, 4 Li 2.75
Ir1 0.0000 0.5000 0.5000 (multiplicity 2)  4 Al 2.53, 4 Li 2.61


[7]
Below is CaMnO2 at its PBEsol-relaxed geometry, with properties calculated at the meta-GGA SCAN level.

Values from the calculation:
The value obtained for the formation energy without anion corrections is -2.57 eV/atom. For the total energy, the calculation gives -12.67 eV per atom. The calculated volume is 12.07 A^3/atom.

Cell lengths 3.2361, 4.6594, 6.4049 Å; angles 90.00, 90.00, 90.00 degrees
With the nearest neighbours (Å) after each atom.
Space group Pmmn (No. 59, origin choice 2)
Asymmetric unit:
Ca1 0.2500 0.2500 0.1368 (multiplicity 2)  6 O 2.31-2.38
Mn1 0.2500 0.2500 0.6239 (multiplicity 2)  6 O 2.18-2.33
O1 0.2500 0.7500 0.1352 (multiplicity 2)  2 Mn 2.24, 4 Ca 2.33-2.38
O2 0.2500 0.7500 0.6048 (multiplicity 2)  4 Mn 2.18-2.33, 2 Ca 2.31


[8]
Below is ZnCd4Ga10S20 at its PBEsol-relaxed geometry, with properties calculated at the meta-GGA SCAN level.

Values from the calculation:
The value obtained for the formation energy without anion corrections is -0.81 eV/atom. For the total energy, the calculation gives -14.84 eV per atom. The calculated volume is 21.70 A^3/atom.

Cell lengths 5.4478, 6.4023, 24.0849 Å; angles 92.60, 90.03, 115.16 degrees
With the nearest neighbours (Å) after each atom.
Space group P1 (No. 1)
Asymmetric unit:
Zn1 0.0000 0.0000 0.0000 (multiplicity 1)  4 S 2.33-2.34
Cd1 0.1976 0.3886 0.8033 (multiplicity 1)  4 S 2.52
Cd2 0.4036 0.8002 0.6014 (multiplicity 1)  4 S 2.52
Cd3 0.6083 0.2097 0.3994 (multiplicity 1)  4 S 2.51-2.52
Cd4 0.8180 0.6231 0.1973 (multiplicity 1)  4 S 2.52
Ga1 0.0049 0.0022 0.4999 (multiplicity 1)  4 S 2.28
Ga2 0.1168 0.2192 0.1462 (multiplicity 1)  4 S 2.28-2.29
Ga3 0.2096 0.4113 0.2973 (multiplicity 1)  4 S 2.28-2.29
Ga4 0.2958 0.5977 0.9528 (multiplicity 1)  4 S 2.28-2.29
Ga5 0.4130 0.8221 0.0970 (multiplicity 1)  4 S 2.27-2.29
Ga6 0.5013 0.9914 0.7528 (multiplicity 1)  4 S 2.28-2.29
Ga7 0.5990 0.1919 0.9045 (multiplicity 1)  4 S 2.28-2.30
Ga8 0.7046 0.4014 0.5508 (multiplicity 1)  4 S 2.28
Ga9 0.8005 0.5922 0.7021 (multiplicity 1)  4 S 2.28
Ga10 0.9087 0.8106 0.3486 (multiplicity 1)  4 S 2.28
S1 0.0453 0.5353 0.3727 (multiplicity 1)  2 Ga 2.28, 1 Cd 2.52
S2 0.0858 0.6903 0.5182 (multiplicity 1)  2 Ga 2.28, 1 Cd 2.52
S3 0.0953 0.6954 0.0265 (multiplicity 1)  2 Ga 2.28, 1 Zn 2.34
S4 0.1856 0.9092 0.6829 (multiplicity 1)  2 Ga 2.28, 1 Cd 2.52
S5 0.2593 0.9505 0.1729 (multiplicity 1)  2 Ga 2.27-2.28, 1 Cd 2.52
S6 0.2900 0.0999 0.3162 (multiplicity 1)  2 Ga 2.28, 1 Cd 2.52
S7 0.3009 0.0590 0.8306 (multiplicity 1)  2 Ga 2.28-2.29, 1 Cd 2.52
S8 0.3901 0.3192 0.4807 (multiplicity 1)  2 Ga 2.28, 1 Cd 2.51
S9 0.4061 0.3062 0.9776 (multiplicity 1)  2 Ga 2.29-2.30, 1 Zn 2.33
S10 0.4968 0.5110 0.1147 (multiplicity 1)  2 Ga 2.28, 1 Cd 2.52
S11 0.5017 0.4673 0.6284 (multiplicity 1)  2 Ga 2.28, 1 Cd 2.52
S12 0.5950 0.7289 0.2784 (multiplicity 1)  2 Ga 2.28, 1 Cd 2.52
S13 0.6364 0.7161 0.7777 (multiplicity 1)  2 Ga 2.28, 1 Cd 2.52
S14 0.6921 0.8867 0.9248 (multiplicity 1)  2 Ga 2.29, 1 Zn 2.34
S15 0.7058 0.8764 0.4262 (multiplicity 1)  2 Ga 2.28, 1 Cd 2.52
S16 0.8091 0.1236 0.0739 (multiplicity 1)  2 Ga 2.29, 1 Zn 2.33
S17 0.8411 0.1264 0.5753 (multiplicity 1)  2 Ga 2.28, 1 Cd 2.52
S18 0.8817 0.2798 0.7199 (multiplicity 1)  2 Ga 2.28, 1 Cd 2.52
S19 0.9113 0.2865 0.2233 (multiplicity 1)  2 Ga 2.28-2.29, 1 Cd 2.52
S20 0.9791 0.5097 0.8829 (multiplicity 1)  2 Ga 2.28, 1 Cd 2.52


[9]
Below is CdTc2Ru at its PBEsol-relaxed geometry, with properties calculated at the meta-GGA SCAN level.

Values from the calculation:
For the total energy, the calculation gives -33.42 eV per atom. The calculated volume is 15.21 A^3/atom. The formation energy from the elements is 0.417 eV per atom.

Cell lengths 2.9707, 4.5997, 8.9060 Å; angles 90.00, 90.00, 90.00 degrees
With the nearest neighbours (Å) after each atom.
Space group Imm2 (No. 44)
Asymmetric unit:
Cd1 0.0000 0.0000 0.0000 (multiplicity 2)  8 Tc 2.74-3.05, 4 Ru 2.84-3.07, 2 Cd 2.97
Tc1 0.0000 0.0000 0.5083 (multiplicity 2)  2 Tc 2.44, 2 Ru 2.57
Tc2 0.0000 0.5000 0.2252 (multiplicity 2)  2 Tc 2.44
Ru1 0.0000 0.5000 0.7722 (multiplicity 2)  6 Tc 2.57-2.77, 2 Cd 2.84


[10]
Below is K2ZrIr at its PBEsol-relaxed geometry, with properties calculated at the meta-GGA SCAN level.

Values from the calculation:
For the total energy, the calculation gives -28.54 eV per atom. The value obtained for the offset from the most stable computed form is 492 meV/atom. The calculated volume is 27.21 A^3/atom. The formation energy from the elements is 1.071 eV per atom.

Cell lengths 4.5398, 4.5398, 5.2804 Å; angles 90.00, 90.00, 90.00 degrees
With the nearest neighbours (Å) after each atom.
Space group P4/mmm (No. 123)
Asymmetric unit:
K1 0.0000 0.0000 0.2412 (multiplicity 2)  2 K 2.55-2.73
Zr1 0.5000 0.5000 0.5000 (multiplicity 1)  2 Ir 2.64
Ir1 0.5000 0.5000 0.0000 (multiplicity 1)  2 Zr 2.64


[11]
Below is SrCo2P at its PBEsol-relaxed geometry, with properties calculated at the meta-GGA SCAN level.

Values from the calculation:
For the total energy, the calculation gives -16.48 eV per atom. The calculated volume is 14.39 A^3/atom. The formation energy from the elements is 0.342 eV per atom.

Cell lengths 2.8297, 2.8297, 7.1874 Å; angles 90.00, 90.00, 90.00 degrees
With the nearest neighbours (Å) after each atom.
Space group P4/mmm (No. 123)
Asymmetric unit:
Sr1 0.0000 0.0000 0.0000 (multiplicity 1)  4 Sr 2.83, 8 Co 3.11
Co1 0.5000 0.5000 0.3319 (multiplicity 2)  4 P 2.34, 1 Co 2.42
P1 0.0000 0.0000 0.5000 (multiplicity 1)  8 Co 2.34


[12]
Below is TaAg3B at its PBEsol-relaxed geometry, with properties calculated at the meta-GGA SCAN level.

Values from the calculation:
For the total energy, the calculation gives -31.14 eV per atom. The calculated volume is 25.81 A^3/atom. The formation energy from the elements is 2.479 eV per atom.

Cell lengths 5.0531, 5.0531, 5.0531 Å; angles 90.00, 90.00, 90.00 degrees
With the nearest neighbours (Å) after each atom.
Space group Pm-3m (No. 221)
Asymmetric unit:
Ta1 0.0000 0.0000 0.0000 (multiplicity 1)  6 Ag 2.53
Ag1 0.0000 0.0000 0.5000 (multiplicity 3)  2 Ta 2.53
B1 0.5000 0.5000 0.5000 (multiplicity 1)  12 Ag 3.57


[13]
Below is Sr3PdPb at its PBEsol-relaxed geometry, with properties calculated at the meta-GGA SCAN level.

Values from the calculation:
For the total energy, the calculation gives -35.58 eV per atom. The calculated volume is 37.13 A^3/atom. The formation energy from the elements is -0.502 eV per atom.

Cell lengths 5.7045, 5.7045, 5.7045 Å; angles 90.00, 90.00, 90.00 degrees
With the nearest neighbours (Å) after each atom.
Space group Pm-3m (No. 221)
Asymmetric unit:
Sr1 0.0000 0.0000 0.5000 (multiplicity 3)  2 Pd 2.85
Pd1 0.0000 0.0000 0.0000 (multiplicity 1)  6 Sr 2.85
Pb1 0.5000 0.5000 0.5000 (multiplicity 1)  12 Sr 4.03